Material: Th6TcTe2
Method: DFT, PBE-GGA
State: optimized geometry

Geometry as extended XYZ:
```
9
Lattice="3.9165 0.0000 0.0000 0.0000 7.7635 -4.0379 0.0000 -0.3847 8.7424" Properties=species:S:1:pos:R:3 pbc="T T T"
Th 1.9582 3.0541 1.9472
Th 1.9582 4.1660 6.3751
Th 1.9582 7.5376 1.0867
Th 0.0000 5.5845 3.5604
Th 0.0000 1.8882 -0.9820
Th 0.0000 -0.0935 2.1263
Tc 1.9582 7.3788 4.7044
Te 0.0000 5.0471 0.2220
Te 0.0000 2.3311 4.4820
```

Uncorrected formation energy   -0.5724 eV per atom
Crystal system   hexagonal
M_tot   0.000 μB per formula unit
E   -66.32 eV per cell